# KTa5O13

A geometry-optimized KTa5O13 structure (PBEsol, Alexandria).

Cell and atoms, written as extended XYZ:
```
76
Lattice="-3.302 4.550 -0.654 -7.088 -5.928 -5.459 -7.981 -3.723 14.405" Properties=species:S:1:pos:R:3 pbc="T T T"
O -3.950 -0.615 -2.094
O -8.672 -1.043 7.036
O -9.403 -4.321 10.970
O -10.728 -6.561 2.180
O -7.496 -3.030 -2.720
O -11.541 -4.937 4.440
O -11.825 -4.362 9.441
O -5.701 1.608 -2.668
O -4.824 -2.962 -0.734
O -9.987 -3.504 6.124
O -9.475 -4.552 -3.757
O -8.740 -4.876 3.867
O -11.313 -5.409 -0.440
O -10.948 -1.704 0.895
O -5.670 -1.315 1.466
O -9.699 -4.058 1.255
O -6.633 -3.806 2.531
O -7.423 -3.398 7.396
O -6.830 -0.164 3.852
O -13.547 -2.139 9.026
O -12.670 -6.710 10.960
O -7.059 0.308 8.732
O -8.384 -1.597 2.168
O -15.379 -3.934 7.759
O -8.897 -0.550 12.049
O -7.643 1.460 6.112
O -13.399 -3.010 4.185
O -10.635 -2.720 3.553
O -10.087 -3.075 -1.437
O -8.402 -2.328 -5.003
O -6.184 -1.007 6.462
O -11.066 -2.209 -3.998
O -4.627 0.864 -0.124
O -9.631 -0.225 4.425
O -4.972 -2.091 4.107
O -6.798 -4.728 -4.913
O -2.992 -1.168 0.533
O -8.284 -2.026 9.728
O -12.702 -3.786 6.826
O -13.744 -5.965 8.416
O -14.421 -4.486 10.386
O -6.546 -0.739 -1.149
O -11.573 -0.374 13.205
O -12.188 -4.094 1.830
O -10.875 -2.071 11.012
O -8.968 -0.780 -2.678
O -11.738 -1.295 5.760
O -9.969 -2.773 13.295
O -7.306 -2.892 12.289
O -7.736 -2.381 4.739
O -12.875 -3.053 -0.732
O -5.496 -2.048 9.024
Ta -4.832 -1.100 -0.251
Ta -1.576 0.064 0.638
Ta -7.181 -1.588 8.216
Ta -10.420 -4.774 2.887
Ta -10.160 -1.092 2.489
Ta -8.211 -4.009 5.803
Ta -16.796 -5.165 7.654
Ta -10.997 -5.309 10.830
Ta -4.361 -1.235 5.665
Ta -3.961 1.534 -1.798
Ta -6.429 -2.912 -4.315
Ta -9.387 -2.671 -3.181
Ta -6.636 -1.941 3.005
Ta -11.735 -3.160 5.287
Ta -7.952 -0.327 5.404
Ta -11.191 -3.513 0.075
Ta -7.375 0.208 -2.538
Ta -14.010 -3.866 2.627
Ta -8.985 -2.430 11.472
Ta -13.539 -4.001 8.543
K -7.434 -4.004 -0.206
K -12.512 -6.775 6.158
K -5.859 1.674 2.134
K -10.938 -1.098 8.498
```

## Properties
Energy relative to the elements, uncorrected (eV/atom): -2.8189
Size of the total moment (μB/f.u.): 0.00
Symmetry: Pbcm (57)
Density (Mg/m³): 7.46